# 1
VASP calculation (GGA-PBE) on a relaxed SbAu6 crystal.

Unit cell a=6.429 b=6.429 c=6.429 alpha=109.47 beta=109.47 gamma=109.47
Sites, in units of the cell vectors:
Au  0.500  0.250  0.750
Au  0.250  0.500  0.750
Sb  0.000  0.000  0.000
Au  0.750  0.250  0.500
Au  0.750  0.500  0.250
Au  0.250  0.750  0.500
Au  0.500  0.750  0.250

Fermi-level density of states, states/eV/atom: 0.390
Crystal system: cubic


# 2
VASP calculation (GGA-PBE) on a relaxed TaReSi2 crystal.

Unit cell a=3.161 b=3.161 c=5.794 alpha=90.00 beta=90.00 gamma=90.00
Sites, in units of the cell vectors:
Ta  0.000  0.000  0.481
Re  0.500  0.500  0.792
Si  0.000  0.000  0.993
Si  0.500  0.500  0.235

Fermi-level density of states, states/eV/atom: 0.151
Crystal system: tetragonal


# 3
VASP calculation (GGA-PBE) on a relaxed RbPrCu2F8 crystal.

Unit cell a=5.880 b=5.880 c=6.848 alpha=115.43 beta=115.43 gamma=90.00
Last column: magnetic moment on the atom in μB.
Sites, in units of the cell vectors:
Pr  0.750  0.250  0.500  0.02
F  0.735  0.358  0.881  0.06
F  0.146  0.523  0.881  0.06
Rb  0.000  0.000  0.000  0.00
F  0.477  0.265  0.119  0.06
F  0.023  0.963  0.576  0.07
Cu  0.250  0.750  0.500  0.71
F  0.387  0.977  0.424  0.07
F  0.553  0.613  0.576  0.07
F  0.037  0.447  0.424  0.07
F  0.642  0.854  0.119  0.06
Cu  0.500  0.500  0.000  0.72

Crystal system: tetragonal


# 4
VASP calculation (GGA-PBE) on a relaxed UIrRh3 crystal.

Unit cell a=4.078 b=6.425 c=6.384 alpha=90.00 beta=90.00 gamma=90.00
Last column: magnetic moment on the atom in μB.
Sites, in units of the cell vectors:
Rh  0.500  0.500  0.044  0.04
Rh  0.500  0.204  0.745  0.04
U  0.500  0.000  0.253  -0.50
U  0.000  0.500  0.747  -0.50
Rh  0.000  0.296  0.255  0.04
Rh  0.500  0.796  0.745  0.04
Ir  0.500  0.500  0.448  0.05
Rh  0.000  0.000  0.956  0.04
Rh  0.000  0.704  0.255  0.04
Ir  0.000  0.000  0.552  0.05

Fermi-level density of states, states/eV/atom: 1.309
Formation enthalpy at 0 K, eV per atom: -0.3002
Crystal system: orthorhombic


# 5
VASP calculation (GGA-PBE) on a relaxed BaPm2Ge crystal.

Unit cell a=4.141 b=4.141 c=11.245 alpha=79.39 beta=79.39 gamma=60.00
Sites, in units of the cell vectors:
Pm  0.884  0.884  0.349
Ba  0.000  0.000  0.000
Pm  0.116  0.116  0.651
Ge  0.500  0.500  0.500

Fermi-level density of states, states/eV/atom: 1.194
Formation enthalpy at 0 K, eV per atom: -0.1891
Crystal system: trigonal


# 6
VASP calculation (GGA-PBE) on a relaxed LiPr4Te4 crystal.

Unit cell a=6.347 b=9.296 c=9.296 alpha=90.00 beta=90.00 gamma=90.00
Sites, in units of the cell vectors:
Pr  0.760  0.207  0.500
Pr  0.260  0.000  0.707
Pr  0.240  0.500  0.207
Te  0.253  0.724  0.500
Pr  0.240  0.500  0.793
Te  0.247  0.776  0.000
Li  0.500  0.500  0.500
Te  0.747  0.500  0.724
Te  0.753  0.000  0.776
Te  0.253  0.276  0.500
Pr  0.260  0.000  0.293
Pr  0.740  0.707  0.000
Te  0.747  0.500  0.276
Te  0.247  0.224  0.000
Te  0.753  0.000  0.224
Pr  0.760  0.793  0.500
Pr  0.740  0.293  0.000
Li  0.000  0.000  0.000

Fermi-level density of states, states/eV/atom: 0.779
Crystal system: tetragonal


# 7
VASP calculation (GGA-PBE) on a relaxed HoErHgRh crystal.

Unit cell a=5.017 b=5.017 c=5.017 alpha=60.00 beta=60.00 gamma=60.00
Sites, in units of the cell vectors:
Er  0.750  0.750  0.750
Ho  0.250  0.250  0.250
Rh  0.000  0.000  0.000
Hg  0.500  0.500  0.500

Fermi-level density of states, states/eV/atom: 0.566
Formation enthalpy at 0 K, eV per atom: -0.6341
Crystal system: cubic


# 8
VASP calculation (GGA-PBE) on a relaxed KMg2Se crystal.

Unit cell a=6.651 b=6.651 c=5.536 alpha=65.52 beta=65.52 gamma=31.39
Sites, in units of the cell vectors:
Se  0.750  0.750  0.750
K  0.250  0.250  0.250
Mg  0.436  0.436  0.566
Mg  0.064  0.064  0.934

Fermi-level density of states, states/eV/atom: 0.333
Crystal system: monoclinic


# 9
VASP calculation (GGA-PBE) on a relaxed Tb4DyAl5 crystal.

Unit cell a=3.602 b=3.602 c=18.158 alpha=90.00 beta=90.00 gamma=90.00
Sites, in units of the cell vectors:
Al  0.500  0.500  0.099
Tb  0.000  0.000  0.801
Tb  0.000  0.000  0.600
Al  0.500  0.500  0.299
Tb  0.000  0.000  0.199
Dy  0.000  0.000  0.000
Al  0.500  0.500  0.500
Al  0.500  0.500  0.901
Al  0.500  0.500  0.701
Tb  0.000  0.000  0.400

Fermi-level density of states, states/eV/atom: 0.453
Formation enthalpy at 0 K, eV per atom: -0.3949
Crystal system: tetragonal


# 10
VASP calculation (GGA-PBE) on a relaxed HfTi2Co crystal.

Unit cell a=4.480 b=4.480 c=4.480 alpha=60.00 beta=60.00 gamma=60.00
Sites, in units of the cell vectors:
Hf  0.500  0.500  0.500
Ti  0.750  0.750  0.750
Co  0.000  0.000  0.000
Ti  0.250  0.250  0.250

Fermi-level density of states, states/eV/atom: 1.563
Formation enthalpy at 0 K, eV per atom: 0.0823
Crystal system: cubic


# 11
VASP calculation (GGA-PBE) on a relaxed Sr2MgPb2 crystal.

Unit cell a=5.082 b=6.805 c=10.857 alpha=82.42 beta=76.46 gamma=68.08
Sites, in units of the cell vectors:
Sr  0.322  0.257  0.100
Mg  0.785  0.065  0.364
Sr  0.497  0.334  0.672
Mg  0.215  0.935  0.636
Pb  0.856  0.714  0.574
Pb  0.144  0.286  0.426
Sr  0.503  0.666  0.328
Pb  0.024  0.832  0.120
Sr  0.678  0.743  0.900
Pb  0.976  0.168  0.880

Fermi-level density of states, states/eV/atom: 0.340
Formation enthalpy at 0 K, eV per atom: -0.4716
Crystal system: monoclinic


# 12
VASP calculation (GGA-PBE) on a relaxed Si2Sn2N crystal.

Unit cell a=5.631 b=5.631 c=5.622 alpha=90.00 beta=90.00 gamma=90.00
Sites, in units of the cell vectors:
Sn  0.298  0.798  0.500
Sn  0.702  0.202  0.500
Si  0.824  0.676  0.000
Sn  0.798  0.702  0.500
Sn  0.202  0.298  0.500
Si  0.676  0.176  0.000
N  0.500  0.500  0.000
Si  0.324  0.824  0.000
Si  0.176  0.324  0.000
N  0.000  0.000  0.000

Fermi-level density of states, states/eV/atom: 0.382
Crystal system: tetragonal


# 13
VASP calculation (GGA-PBE) on a relaxed Ca2Cu crystal.

Unit cell a=4.071 b=6.771 c=7.091 alpha=90.00 beta=90.00 gamma=90.00
Sites, in units of the cell vectors:
Ca  0.000  0.249  0.666
Cu  0.500  0.500  0.500
Ca  0.500  0.251  0.166
Ca  0.000  0.751  0.334
Cu  0.000  0.000  0.000
Ca  0.500  0.749  0.834

Fermi-level density of states, states/eV/atom: 0.639
Formation enthalpy at 0 K, eV per atom: -0.0134
Crystal system: orthorhombic


# 14
VASP calculation (GGA-PBE) on a relaxed MnCrTcPd crystal.

Unit cell a=4.318 b=4.318 c=4.318 alpha=60.00 beta=60.00 gamma=60.00
Last column: magnetic moment on the atom in μB.
Sites, in units of the cell vectors:
Cr  0.250  0.250  0.250  2.66
Tc  0.500  0.500  0.500  -0.73
Mn  0.750  0.750  0.750  3.36
Pd  0.000  0.000  0.000  0.33

Fermi-level density of states, states/eV/atom: 1.045
Formation enthalpy at 0 K, eV per atom: 0.1105
Crystal system: cubic


# 15
VASP calculation (GGA-PBE) on a relaxed Tb6In2Pd crystal.

Unit cell a=5.109 b=7.293 c=8.767 alpha=114.58 beta=106.90 gamma=90.00
Sites, in units of the cell vectors:
Tb  0.842  0.083  0.684
In  0.667  0.667  0.334
Tb  0.500  0.769  0.000
Tb  0.158  0.399  0.316
In  0.333  0.333  0.666
Tb  0.842  0.601  0.684
Tb  0.500  0.231  0.000
Tb  0.158  0.917  0.316
Pd  0.000  0.000  0.000

Fermi-level density of states, states/eV/atom: 0.923
Formation enthalpy at 0 K, eV per atom: -0.2159
Crystal system: orthorhombic


# 16
VASP calculation (GGA-PBE) on a relaxed MgSc3Ag crystal.

Unit cell a=5.221 b=5.221 c=5.221 alpha=90.00 beta=90.00 gamma=90.00
Last column: magnetic moment on the atom in μB.
Sites, in units of the cell vectors:
Sc  0.000  0.000  0.500  0.38
Sc  0.500  0.000  0.000  0.25
Mg  0.000  0.000  0.000  0.02
Sc  0.000  0.500  0.000  0.37
Ag  0.500  0.500  0.500  0.02

Fermi-level density of states, states/eV/atom: 1.007
Formation enthalpy at 0 K, eV per atom: 0.8491
Crystal system: cubic


# 17
VASP calculation (GGA-PBE) on a relaxed Dy4ZrP5 crystal.

Unit cell a=5.586 b=6.831 c=6.831 alpha=80.38 beta=65.87 gamma=65.87
Sites, in units of the cell vectors:
P  0.501  0.000  0.000
P  0.904  0.389  0.806
Zr  0.001  0.000  0.000
Dy  0.599  0.602  0.203
Dy  0.801  0.797  0.602
P  0.710  0.194  0.389
P  0.292  0.806  0.611
Dy  0.201  0.203  0.398
Dy  0.404  0.398  0.797
P  0.099  0.611  0.194

Fermi-level density of states, states/eV/atom: 0.221
Formation enthalpy at 0 K, eV per atom: -1.5603
Crystal system: tetragonal


# 18
VASP calculation (GGA-PBE) on a relaxed Pa6Ir5Ru crystal.

Unit cell a=7.339 b=5.265 c=8.113 alpha=62.35 beta=114.23 gamma=108.87
Sites, in units of the cell vectors:
Pa  0.080  0.329  0.291
Ir  0.148  0.773  0.442
Ru  0.000  0.000  0.000
Ir  0.709  0.332  0.983
Pa  0.530  0.909  0.743
Ir  0.852  0.227  0.558
Ir  0.291  0.668  0.017
Pa  0.280  0.299  0.811
Pa  0.470  0.091  0.257
Ir  0.500  0.500  0.500
Pa  0.720  0.701  0.189
Pa  0.920  0.671  0.709

Fermi-level density of states, states/eV/atom: 1.046
Formation enthalpy at 0 K, eV per atom: -0.6944
Crystal system: triclinic


# 19
VASP calculation (GGA-PBE) on a relaxed TmAg2Hg2 crystal.

Unit cell a=5.130 b=5.308 c=8.248 alpha=70.79 beta=90.00 gamma=90.00
Sites, in units of the cell vectors:
Hg  0.750  0.871  0.101
Ag  0.750  0.481  0.908
Ag  0.250  0.519  0.092
Hg  0.250  0.310  0.490
Hg  0.750  0.690  0.510
Tm  0.250  0.912  0.299
Ag  0.750  0.286  0.295
Ag  0.250  0.714  0.705
Tm  0.750  0.088  0.701
Hg  0.250  0.129  0.899

Fermi-level density of states, states/eV/atom: 0.465
Formation enthalpy at 0 K, eV per atom: -0.2034
Crystal system: monoclinic


# 20
VASP calculation (GGA-PBE) on a relaxed Ti2FeAgW crystal.

Unit cell a=4.470 b=4.486 c=4.470 alpha=90.00 beta=90.00 gamma=90.00
Sites, in units of the cell vectors:
Ti  0.000  0.000  0.500
W  0.000  0.500  0.000
Fe  0.000  0.000  0.000
Ag  0.500  0.500  0.500
Ti  0.500  0.000  0.000

Fermi-level density of states, states/eV/atom: 1.164
Formation enthalpy at 0 K, eV per atom: 0.6308
Crystal system: tetragonal


# 21
VASP calculation (GGA-PBE) on a relaxed Pm2Nd3Sm7 crystal.

Unit cell a=3.635 b=5.960 c=19.197 alpha=93.11 beta=90.00 gamma=90.00
Sites, in units of the cell vectors:
Nd  0.000  0.781  0.633
Nd  0.000  0.219  0.367
Sm  0.000  0.000  0.000
Pm  0.500  0.709  0.294
Sm  0.500  0.743  0.463
Sm  0.500  0.257  0.537
Sm  0.000  0.686  0.144
Sm  0.500  0.813  0.824
Nd  0.500  0.500  0.000
Pm  0.500  0.291  0.706
Sm  0.500  0.187  0.176
Sm  0.000  0.314  0.856

Fermi-level density of states, states/eV/atom: 1.333
Formation enthalpy at 0 K, eV per atom: 0.0820
Crystal system: monoclinic


# 22
VASP calculation (GGA-PBE) on a relaxed Pm7Ho2 crystal.

Unit cell a=6.276 b=6.276 c=8.860 alpha=90.00 beta=90.00 gamma=120.00
Sites, in units of the cell vectors:
Pm  0.000  0.000  0.000
Pm  0.334  0.000  0.669
Pm  0.334  0.334  0.331
Pm  0.666  0.666  0.669
Ho  0.667  0.333  0.000
Pm  0.000  0.666  0.331
Pm  0.666  0.000  0.331
Ho  0.333  0.667  0.000
Pm  0.000  0.334  0.669

Fermi-level density of states, states/eV/atom: 1.335
Formation enthalpy at 0 K, eV per atom: 0.0154
Crystal system: trigonal


# 23
VASP calculation (GGA-PBE) on a relaxed Rb5CdO crystal.

Unit cell a=9.132 b=9.132 c=12.283 alpha=83.22 beta=115.98 gamma=124.73
Sites, in units of the cell vectors:
Rb  0.294  0.103  0.934
Rb  0.669  0.359  0.566
Rb  0.800  0.111  0.439
Rb  0.173  0.362  0.061
Rb  0.706  0.897  0.066
Rb  0.331  0.641  0.434
O  0.500  0.000  0.500
Rb  0.747  0.997  0.750
Cd  0.251  0.501  0.750
O  0.000  0.000  0.000
Cd  0.749  0.499  0.250
Rb  0.200  0.889  0.561
Rb  0.253  0.003  0.250
Rb  0.827  0.638  0.939

Fermi-level density of states, states/eV/atom: 0.532
Crystal system: monoclinic


# 24
VASP calculation (GGA-PBE) on a relaxed Zn5GaCu8 crystal.

Unit cell a=6.418 b=6.418 c=6.418 alpha=115.56 beta=97.88 gamma=115.56
Sites, in units of the cell vectors:
Zn  0.082  0.369  0.178
Cu  0.595  0.911  0.831
Cu  0.920  0.089  0.684
Zn  0.287  0.096  0.918
Cu  0.034  0.765  0.438
Zn  0.500  0.000  0.500
Cu  0.672  0.235  0.269
Cu  0.169  0.764  0.080
Zn  0.822  0.904  0.191
Cu  0.731  0.404  0.966
Cu  0.562  0.596  0.328
Zn  0.809  0.631  0.713
Cu  0.316  0.236  0.405
Ga  0.250  0.500  0.750

Fermi-level density of states, states/eV/atom: 0.423
Formation enthalpy at 0 K, eV per atom: 0.0350
Crystal system: tetragonal


| no. | total moment (μB per formula unit) | total energy (eV/cell) |
| --- | --- | --- |
| 1 | 0.00 | -18.51 |
| 2 | 0.00 | -36.84 |
| 3 | 2.00 | -59.40 |
| 4 | 0.37 | -87.41 |
| 5 | 0.00 | -16.80 |
| 6 | 0.00 | -89.28 |
| 7 | 0.00 | -19.33 |
| 8 | 0.00 | -9.55 |
| 9 | 0.00 | -45.79 |
| 10 | 0.00 | -32.52 |
| 11 | 0.00 | -29.47 |
| 12 | 0.00 | -49.07 |
| 13 | 0.00 | -16.28 |
| 14 | 5.84 | -33.91 |
| 15 | 0.00 | -40.39 |
| 16 | 2.15 | -19.20 |
| 17 | 0.00 | -69.61 |
| 18 | 0.00 | -118.89 |
| 19 | 0.00 | -23.59 |
| 20 | 0.00 | -36.90 |
| 21 | 0.00 | -55.85 |
| 22 | 0.00 | -42.27 |
| 23 | 0.00 | -26.95 |
| 24 | 0.00 | -41.68 |